Computed, not measured: a relaxed structure of YZrNbSe2 at the GGA-PBE level of DFT.

Cell lengths 5.1743, 5.4201, 5.1743 Å; angles 90.00, 90.00, 90.00 degrees
Element x y z (fractional)
Zr: 0.0000 0.5000 0.0000
Y: 0.0000 0.0000 0.0000
Se: 0.5000 0.0000 0.0000
Se: 0.0000 0.0000 0.5000
Nb: 0.5000 0.5000 0.5000

SG: P4/mmm
D(E_F): 1.7224 states/eV per atom
uncorrected formation energy: 0.989 eV per atom

Computed, not measured: a relaxed structure of FeSbRh2 at the GGA-PBE level of DFT.

Cell lengths 4.6657, 4.6657, 4.6657 Å; angles 128.45, 128.45, 75.89 degrees
Element x y z (fractional)
Rh: 0.5001 0.5001 0.0000
Rh: 0.9999 0.9999 0.0000
Sb: 0.7500 0.2500 0.5000
Fe: 0.2500 0.7500 0.5000

SG: I4/mmm
D(E_F): 0.7835 states/eV per atom
uncorrected formation energy: -0.227 eV per atom

Computed, not measured: a relaxed structure of Ag2Sb at the GGA-PBE level of DFT.

Cell lengths 4.9751, 4.9751, 5.9544 Å; angles 90.00, 90.00, 120.00 degrees
Element x y z (fractional)
Ag: 0.6667 0.3333 0.7500
Ag: 0.0000 0.0000 0.5000
Ag: 0.3333 0.6667 0.2500
Ag: 0.0000 0.0000 0.0000
Sb: 0.6667 0.3333 0.2500
Sb: 0.3333 0.6667 0.7500

SG: P6_3/mmc
D(E_F): 0.4675 states/eV per atom
excess energy over the best structure of this formula in the dataset: 0.23 eV/f.u.
uncorrected formation energy: 0.142 eV per atom

Computed, not measured: a relaxed structure of HoScZnCu at the GGA-PBE level of DFT.

Cell lengths 4.8226, 4.8226, 4.8226 Å; angles 60.00, 60.00, 60.00 degrees
Element x y z (fractional)
Zn: 0.7500 0.7500 0.7500
Cu: 0.2500 0.2500 0.2500
Ho: 0.0000 0.0000 0.0000
Sc: 0.5000 0.5000 0.5000

SG: F-43m
D(E_F): 1.0097 states/eV per atom
DFT formation energy: -1.15 eV per formula unit

Computed, not measured: a relaxed structure of Tl2InPdBr at the GGA-PBE level of DFT.

Cell lengths 5.3973, 5.3973, 5.2551 Å; angles 90.00, 90.00, 90.00 degrees
Element x y z (fractional)
Br: 0.5000 0.5000 0.5000
In: 0.0000 0.0000 0.5000
Tl: 0.5000 0.0000 0.0000
Tl: 0.0000 0.5000 0.0000
Pd: 0.0000 0.0000 0.0000

SG: P4/mmm
D(E_F): 0.1704 states/eV per atom
uncorrected formation energy: -0.380 eV per atom

Computed, not measured: a relaxed structure of Al2PBr at the GGA-PBE level of DFT.

Cell lengths 5.3582, 5.3582, 5.3582 Å; angles 140.61, 100.61, 92.46 degrees
Element x y z (fractional)
Al: 0.0348 0.0348 0.0000
Al: 0.4652 0.4652 0.0000
P: 0.2500 0.7500 0.5000
Br: 0.7500 0.2500 0.5000

SG: Immm
D(E_F): 0.3368 states/eV per atom
excess energy over the best structure of this formula in the dataset: 1.32 eV/f.u.
uncorrected formation energy: 0.067 eV per atom

Computed, not measured: a relaxed structure of CrW at the GGA-PBE level of DFT.

Cell lengths 8.9616, 5.0503, 5.2866 Å; angles 100.06, 107.02, 87.22 degrees
Element x y z (fractional)
Cr: 0.2566 0.2514 0.4983
Cr: 0.4909 0.0049 0.2465
Cr: 0.0048 0.4991 0.7535
Cr: 0.2579 0.2531 0.0095
Cr: 0.2591 0.7451 0.2535
Cr: 0.7452 0.2509 0.7465
Cr: 0.4934 0.4986 0.0017
Cr: 0.4921 0.4969 0.4905
W: 0.0065 0.0092 0.5052
W: 0.0066 0.9993 0.0001
W: 0.2545 0.7404 0.7571
W: 0.7414 0.2500 0.2494
W: 0.0086 0.5000 0.2506
W: 0.4955 0.0096 0.7429
W: 0.7434 0.7507 0.4999
W: 0.7435 0.7408 0.9948

SG: P-1
D(E_F): 0.6888 states/eV per atom
DFT formation energy: 0.19 eV per formula unit